Entry 1:
Entry from Alexandria: Ba2AsPdN after structural relaxation (PBE).

## Properties
size of the total moment: 0.0000 μB/atom
SG: P4/mmm
energy relative to the elements, uncorrected: -0.59 eV per atom

Lattice parameters (Å, degrees): 5.883 5.883 3.856 90.00 90.00 90.00
Fractional coordinates of all 5 atoms:
Ba1 0.000 0.500 0.000
Ba2 0.500 0.000 0.000
As1 0.000 0.000 0.500
Pd1 0.500 0.500 0.500
N1 0.500 0.500 0.000


Entry 2:
Entry from Alexandria: Cs3CdBr6 after structural relaxation (PBE).

## Properties
size of the total moment: 0.0000 μB/atom
energy above the most stable polymorph in this dataset: 0.000 eV/atom
SG: Cmc2_1
energy relative to the elements, uncorrected: -1.33 eV per atom

Lattice parameters (Å, degrees): 12.888 12.888 6.000 90.00 90.00 104.10
Fractional coordinates of all 20 atoms:
Cs1 0.116 0.884 0.500
Cs2 0.197 0.442 0.524
Cs3 0.442 0.197 0.024
Cs4 0.558 0.803 0.524
Cs5 0.803 0.558 0.024
Cs6 0.884 0.116 0.000
Cd1 0.290 0.710 0.088
Cd2 0.710 0.290 0.588
Br1 0.083 0.631 0.169
Br2 0.163 0.165 0.264
Br3 0.165 0.163 0.764
Br4 0.284 0.716 0.644
Br5 0.369 0.917 0.169
Br6 0.418 0.582 0.149
Br7 0.582 0.418 0.649
Br8 0.631 0.083 0.669
Br9 0.716 0.284 0.144
Br10 0.835 0.837 0.264
Br11 0.837 0.835 0.764
Br12 0.917 0.369 0.669


Entry 3:
Entry from Alexandria: Sm6Y12Th after structural relaxation (PBE).

## Properties
size of the total moment: 0.0000 μB/atom
SG: R-3m
E_form: 0.215 eV/atom

Lattice parameters (Å, degrees): 8.795 8.795 8.795 99.84 99.84 99.84
Fractional coordinates of all 19 atoms:
Sm1 0.161 0.601 0.601
Sm2 0.399 0.399 0.839
Sm3 0.399 0.839 0.399
Sm4 0.601 0.161 0.601
Sm5 0.601 0.601 0.161
Sm6 0.839 0.399 0.399
Y1 0.000 0.257 0.743
Y2 0.000 0.743 0.257
Y3 0.154 0.154 0.423
Y4 0.154 0.423 0.154
Y5 0.257 0.000 0.743
Y6 0.257 0.743 0.000
Y7 0.423 0.154 0.154
Y8 0.577 0.846 0.846
Y9 0.743 0.000 0.257
Y10 0.743 0.257 0.000
Y11 0.846 0.577 0.846
Y12 0.846 0.846 0.577
Th1 0.500 0.500 0.500


Entry 4:
Entry from Alexandria: CaPa3As4 after structural relaxation (PBE).

## Properties
size of the total moment: 0.0001 μB/atom
SG: Cmmm
E_form: -1.083 eV/atom

Lattice parameters (Å, degrees): 7.135 7.135 4.111 90.00 90.00 109.38
Fractional coordinates of all 8 atoms:
Ca1 0.000 0.000 0.000
Pa1 0.000 0.500 0.500
Pa2 0.500 0.000 0.500
Pa3 0.500 0.500 0.000
As1 0.251 0.749 0.000
As2 0.255 0.255 0.500
As3 0.745 0.745 0.500
As4 0.749 0.251 0.000


Entry 5:
Entry from Alexandria: KLi2CuF8 after structural relaxation (PBE).

## Properties
size of the total moment: 0.1678 μB/atom
SG: P-1
energy relative to the elements, uncorrected: -1.92 eV per atom

Lattice parameters (Å, degrees): 4.670 4.692 7.451 89.99 85.40 88.72
Fractional coordinates of all 12 atoms:
K1 0.000 0.000 0.000
Li1 0.499 0.526 0.683
Li2 0.501 0.474 0.317
Cu1 0.000 0.000 0.500
F1 0.186 0.179 0.669
F2 0.222 0.169 0.306
F3 0.273 0.694 0.500
F4 0.332 0.504 0.929
F5 0.668 0.496 0.071
F6 0.727 0.306 0.500
F7 0.778 0.831 0.694
F8 0.814 0.821 0.331


Entry 6:
Entry from Alexandria: K5MgBi2 after structural relaxation (PBE).

## Properties
size of the total moment: 0.0534 μB/atom
SG: R-3m
E_form: -0.289 eV/atom

Lattice parameters (Å, degrees): 10.804 10.804 10.804 33.82 33.82 33.82
Fractional coordinates of all 8 atoms:
K1 0.000 0.000 0.000
K2 0.125 0.125 0.125
K3 0.279 0.279 0.279
K4 0.721 0.721 0.721
K5 0.875 0.875 0.875
Mg1 0.500 0.500 0.500
Bi1 0.406 0.406 0.406
Bi2 0.594 0.594 0.594


Entry 7:
Entry from Alexandria: Sc6In3Ga after structural relaxation (PBE).

## Properties
size of the total moment: 0.0731 μB/atom
SG: P2_1/m
E_form: -0.395 eV/atom

Lattice parameters (Å, degrees): 8.655 4.981 10.824 90.00 107.65 90.00
Fractional coordinates of all 20 atoms:
Sc1 0.044 0.250 0.417
Sc2 0.173 0.750 0.175
Sc3 0.269 0.250 0.005
Sc4 0.352 0.750 0.813
Sc5 0.361 0.250 0.325
Sc6 0.410 0.250 0.625
Sc7 0.590 0.750 0.375
Sc8 0.639 0.750 0.675
Sc9 0.648 0.250 0.187
Sc10 0.731 0.750 0.995
Sc11 0.827 0.250 0.825
Sc12 0.956 0.750 0.583
In1 0.026 0.750 0.883
In2 0.121 0.250 0.716
In3 0.278 0.750 0.475
In4 0.722 0.250 0.525
In5 0.879 0.750 0.284
In6 0.974 0.250 0.117
Ga1 0.456 0.750 0.102
Ga2 0.544 0.250 0.898


Entry 8:
Entry from Alexandria: Pu2Tc3Ni after structural relaxation (PBE).

## Properties
size of the total moment: 1.4587 μB/atom
SG: C2/m
E_form: -0.036 eV/atom

Lattice parameters (Å, degrees): 5.292 5.292 5.423 119.72 119.72 56.75
Fractional coordinates of all 6 atoms:
Pu1 0.129 0.129 0.378
Pu2 0.871 0.871 0.622
Tc1 0.000 0.500 0.000
Tc2 0.500 0.000 0.000
Tc3 0.500 0.500 0.000
Ni1 0.500 0.500 0.500


Entry 9:
Entry from Alexandria: Pr2Ga5Ru after structural relaxation (PBE).

## Properties
size of the total moment: 0.0000 μB/atom
SG: I4mm
E_form: -0.457 eV/atom

Lattice parameters (Å, degrees): 6.325 6.325 6.325 121.48 121.48 87.46
Fractional coordinates of all 8 atoms:
Pr1 0.000 0.500 0.500
Pr2 0.500 0.000 0.500
Ga1 0.037 0.037 0.569
Ga2 0.037 0.468 0.000
Ga3 0.468 0.037 0.000
Ga4 0.468 0.468 0.431
Ga5 0.472 0.472 0.000
Ru1 0.739 0.739 0.000


Entry 10:
Entry from Alexandria: Li2MgRh after structural relaxation (PBE).

## Properties
size of the total moment: 0.0000 μB/atom
SG: Pmmm
E_form: -0.217 eV/atom

Lattice parameters (Å, degrees): 3.266 4.216 4.422 90.00 90.00 90.00
Fractional coordinates of all 4 atoms:
Li1 0.000 0.000 0.000
Li2 0.500 0.500 0.000
Mg1 0.000 0.500 0.500
Rh1 0.500 0.000 0.500


Entry 11:
Entry from Alexandria: CeYSiSe after structural relaxation (PBE).

## Properties
size of the total moment: 0.1418 μB/atom
SG: R3m
energy relative to the elements, uncorrected: -1.27 eV per atom

Lattice parameters (Å, degrees): 7.237 7.237 7.237 33.40 33.40 33.40
Fractional coordinates of all 4 atoms:
Ce1 0.000 0.000 0.000
Y1 0.508 0.508 0.508
Si1 0.254 0.254 0.254
Se1 0.756 0.756 0.756


Entry 12:
Entry from Alexandria: KFeAuN after structural relaxation (PBE).

## Properties
size of the total moment: 0.0001 μB/atom
SG: P4/nmm
energy relative to the elements, uncorrected: -0.04 eV per atom

Lattice parameters (Å, degrees): 3.610 3.610 11.519 90.00 90.00 90.00
Fractional coordinates of all 8 atoms:
K1 0.250 0.250 0.243
K2 0.750 0.750 0.757
Fe1 0.250 0.750 0.000
Fe2 0.750 0.250 0.000
Au1 0.250 0.750 0.500
Au2 0.750 0.250 0.500
N1 0.250 0.250 0.933
N2 0.750 0.750 0.067


Entry 13:
Entry from Alexandria: AcGe3Mo after structural relaxation (PBE).

## Properties
size of the total moment: 0.0000 μB/atom
energy above the most stable polymorph in this dataset: 0.000 eV/atom
SG: P6_3/mmc
E_form: -0.431 eV/atom

Lattice parameters (Å, degrees): 6.421 6.421 5.881 90.00 90.00 120.00
Fractional coordinates of all 10 atoms:
Ac1 0.333 0.667 0.250
Ac2 0.667 0.333 0.750
Ge1 0.197 0.393 0.750
Ge2 0.197 0.803 0.750
Ge3 0.393 0.197 0.250
Ge4 0.607 0.803 0.750
Ge5 0.803 0.197 0.250
Ge6 0.803 0.607 0.250
Mo1 0.000 0.000 0.000
Mo2 0.000 0.000 0.500


Entry 14:
Entry from Alexandria: Sb4PtAu after structural relaxation (PBE).

## Properties
size of the total moment: 0.0000 μB/atom
energy above the most stable polymorph in this dataset: 0.990 eV/atom
SG: F-43m
energy relative to the elements, uncorrected: 0.72 eV per atom

Lattice parameters (Å, degrees): 6.042 6.042 6.042 60.00 60.00 60.00
Fractional coordinates of all 6 atoms:
Sb1 0.125 0.125 0.125
Sb2 0.125 0.125 0.626
Sb3 0.125 0.626 0.125
Sb4 0.626 0.125 0.125
Pt1 0.500 0.500 0.500
Au1 0.750 0.750 0.750


Entry 15:
Entry from Alexandria: BaTaAs after structural relaxation (PBE).

## Properties
size of the total moment: 0.0000 μB/atom
energy above the most stable polymorph in this dataset: 0.566 eV/atom
SG: I4mm
E_form: -0.060 eV/atom

Lattice parameters (Å, degrees): 6.704 6.704 6.704 149.00 149.00 44.41
Fractional coordinates of all 3 atoms:
Ba1 0.000 0.000 0.000
Ta1 0.288 0.288 0.000
As1 0.729 0.729 0.000


Entry 16:
Entry from Alexandria: AlTlCo2 after structural relaxation (PBE).

## Properties
size of the total moment: 0.6814 μB/atom
energy above the most stable polymorph in this dataset: 0.440 eV/atom
SG: I-42d
E_form: 0.517 eV/atom

Lattice parameters (Å, degrees): 9.085 9.085 9.085 154.08 154.08 36.98
Fractional coordinates of all 8 atoms:
Al1 0.000 0.000 0.000
Al2 0.750 0.250 0.500
Tl1 0.250 0.750 0.500
Tl2 0.500 0.500 0.000
Co1 0.005 0.625 0.880
Co2 0.375 0.255 0.380
Co3 0.745 0.125 0.120
Co4 0.875 0.995 0.620


Entry 17:
Entry from Alexandria: NpSn2Rh after structural relaxation (PBE).

## Properties
size of the total moment: 0.8939 μB/atom
SG: P4/mmm
E_form: 0.052 eV/atom

Lattice parameters (Å, degrees): 5.330 5.330 3.008 90.00 90.00 90.00
Fractional coordinates of all 4 atoms:
Np1 0.000 0.000 0.000
Sn1 0.000 0.500 0.500
Sn2 0.500 0.000 0.500
Rh1 0.500 0.500 0.000


Entry 18:
Entry from Alexandria: Sb2P6Pb after structural relaxation (PBE).

## Properties
size of the total moment: 0.0000 μB/atom
SG: P-31m
energy relative to the elements, uncorrected: 0.22 eV per atom

Lattice parameters (Å, degrees): 7.335 7.335 4.683 90.00 90.00 120.00
Fractional coordinates of all 9 atoms:
Sb1 0.333 0.667 0.000
Sb2 0.667 0.333 0.000
P1 0.000 0.397 0.660
P2 0.000 0.603 0.340
P3 0.397 0.000 0.660
P4 0.397 0.397 0.340
P5 0.603 0.000 0.340
P6 0.603 0.603 0.660
Pb1 0.000 0.000 0.500


Entry 19:
Entry from Alexandria: Be5Cu3 after structural relaxation (PBE).

## Properties
size of the total moment: 0.0000 μB/atom
energy above the most stable polymorph in this dataset: 0.009 eV/atom
SG: Cmmm
E_form: -0.075 eV/atom

Lattice parameters (Å, degrees): 4.613 4.613 3.785 90.00 90.00 111.59
Fractional coordinates of all 8 atoms:
Be1 0.000 0.000 0.000
Be2 0.000 0.500 0.000
Be3 0.246 0.246 0.500
Be4 0.500 0.000 0.000
Be5 0.754 0.754 0.500
Cu1 0.247 0.753 0.500
Cu2 0.500 0.500 0.000
Cu3 0.753 0.247 0.500


Entry 20:
Entry from Alexandria: NdDy3Er2P6 after structural relaxation (PBE).

## Properties
size of the total moment: 0.0000 μB/atom
SG: C2/m
E_form: -1.592 eV/atom

Lattice parameters (Å, degrees): 6.967 6.967 6.967 99.59 99.59 119.99
Fractional coordinates of all 12 atoms:
Nd1 0.000 0.000 0.000
Dy1 0.165 0.835 0.500
Dy2 0.500 0.500 0.500
Dy3 0.835 0.165 0.500
Er1 0.333 0.667 0.000
Er2 0.667 0.333 0.000
P1 0.084 0.424 0.252
P2 0.256 0.256 0.749
P3 0.424 0.084 0.252
P4 0.576 0.916 0.748
P5 0.744 0.744 0.251
P6 0.916 0.576 0.748